## NbBr2F (meta-GGA SCAN)

Data for a crystal of NbBr2F relaxed with PBEsol.

Properties
Formation energy without anion corrections (eV per atom): -1.465
V (Å³/f.u.): 95.35
Crystal system: tetragonal
Space-group type: I-42d
Offset from the most stable computed form (eV/f.u.): 0.00
DFT total energy (eV per atom): -20.3626

Unit cell a=7.105 b=7.105 c=7.105 alpha=94.84 beta=94.84 gamma=146.24
Element x y z (fractional)
Nb1 0.000 0.000 0.000
Nb2 0.750 0.250 0.500
Br1 0.375 0.028 0.153
Br2 0.778 0.625 0.653
Br3 0.875 0.222 0.847
Br4 0.972 0.125 0.347
F1 0.250 0.750 0.500
F2 0.500 0.500 0.000